{
  "formula": "ZrTe2Mo",
  "functional": "PBE-GGA",
  "state": "optimized geometry",
  "lattice": [[3.392, 0.000, 0.000], [-1.696, 2.937, 0.000], [0.000, 0.000, 26.111]],
  "species": ["Zr", "Zr", "Zr", "Te", "Te", "Te", "Te", "Te", "Te", "Mo", "Mo", "Mo"],
  "frac_coords": [[0.000, 0.000, 0.000], [0.333, 0.667, 0.667], [0.667, 0.333, 0.333], [0.000, 0.000, 0.243], [0.000, 0.000, 0.757], [0.333, 0.667, 0.424], [0.333, 0.667, 0.910], [0.667, 0.333, 0.090], [0.667, 0.333, 0.576], [0.000, 0.000, 0.500], [0.333, 0.667, 0.167], [0.667, 0.333, 0.833]],
  "dft_energy_ev_per_cell": -76.7,
  "raw_formation_energy_ev_per_atom": 0.024,
  "sg": "R-3m (166)",
  "n_ef_per_ev_fu": 3.973,
  "relative_energy_mev_per_atom": 340
}

=====

{
  "formula": "RbMgAg3",
  "functional": "PBE-GGA",
  "state": "optimized geometry",
  "lattice": [[5.331, 0.000, 0.000], [0.000, 5.331, 0.000], [0.000, 0.000, 5.331]],
  "species": ["Rb", "Mg", "Ag", "Ag", "Ag"],
  "frac_coords": [[0.000, 0.000, 0.000], [0.500, 0.500, 0.500], [0.000, 0.500, 0.500], [0.500, 0.000, 0.500], [0.500, 0.500, 0.000]],
  "formation_enthalpy_0k_kj_per_mol_atoms": 22,
  "dft_energy_ev_per_cell": -10.0,
  "sg": "Pm-3m (221)",
  "n_ef_per_ev_fu": 1.275,
  "relative_energy_mev_per_atom": 0
}

=====

{
  "formula": "Er3ZnFe8",
  "functional": "PBE-GGA",
  "state": "optimized geometry",
  "lattice": [[2.513, 1.451, 8.203], [-2.513, 1.451, 8.203], [0.000, -2.902, 8.203]],
  "species": ["Er", "Er", "Er", "Zn", "Fe", "Fe", "Fe", "Fe", "Fe", "Fe", "Fe", "Fe"],
  "frac_coords": [[0.000, 0.000, 0.000], [0.128, 0.128, 0.128], [0.508, 0.508, 0.508], [0.631, 0.631, 0.631], [0.063, 0.565, 0.565], [0.068, 0.068, 0.566], [0.068, 0.566, 0.068], [0.317, 0.317, 0.317], [0.565, 0.063, 0.565], [0.565, 0.565, 0.063], [0.566, 0.068, 0.068], [0.816, 0.816, 0.816]],
  "formation_enthalpy_0k_kj_per_mol_atoms": -8,
  "dft_energy_ev_per_cell": -83.7,
  "sg": "R3m (160)",
  "n_ef_per_ev_fu": 12.151
}